(1)
RbHgPbAu: optimized geometry, PBE.

The structure in CIF format:
```
data_RbHgPbAu
_chemical_formula_sum 'Rb1 Hg1 Pb1 Au1'
_space_group_name_H-M_alt 'P 1'
_space_group_IT_number 1
_cell_length_a 5.110
_cell_length_b 5.107
_cell_length_c 6.833
_cell_angle_alpha 111.96
_cell_angle_beta 90.00
_cell_angle_gamma 120.02
loop_
_space_group_symop_operation_xyz
'x,y,z'
loop_
_atom_site_label
_atom_site_fract_x
_atom_site_fract_y
_atom_site_fract_z
Rb1 0.619 0.237 0.498
Hg1 0.827 0.655 0.124
Pb1 0.103 0.207 0.952
Au1 0.417 0.834 0.893
```

Calculated values
Crystal system = trigonal
Offset from the most stable computed form = 0.00 eV per formula unit
Calculated density = 8.23 g/cm3
ΔE_f = -150 meV per atom
DFT total energy = -2.21 eV/atom

---

(2)
Mg6NiW: optimized geometry, PBE.

The structure in CIF format:
```
data_Mg6NiW
_chemical_formula_sum 'Mg6 Ni1 W1'
_space_group_name_H-M_alt 'P 1'
_space_group_IT_number 1
_cell_length_a 6.091
_cell_length_b 6.091
_cell_length_c 4.755
_cell_angle_alpha 90.00
_cell_angle_beta 90.00
_cell_angle_gamma 123.61
loop_
_space_group_symop_operation_xyz
'x,y,z'
loop_
_atom_site_label
_atom_site_fract_x
_atom_site_fract_y
_atom_site_fract_z
Mg1 0.824 0.677 0.500
Mg2 0.323 0.176 0.500
Mg3 0.660 0.829 0.000
Mg4 0.171 0.340 0.000
Mg5 0.689 0.311 0.000
Mg6 0.177 0.823 0.000
Ni1 0.834 0.166 0.500
W1 0.322 0.678 0.500
```

Calculated values
Crystal system = orthorhombic
Offset from the most stable computed form = 0.31 eV per formula unit
Calculated density = 4.39 g/cm3
ΔE_f = 301 meV per atom
DFT total energy = -3.24 eV/atom

---

(3)
Pr4Al12Rh: optimized geometry, PBE.

The structure in CIF format:
```
data_Pr4Al12Rh
_chemical_formula_sum 'Pr4 Al12 Rh1'
_space_group_name_H-M_alt 'P 1'
_space_group_IT_number 1
_cell_length_a 7.657
_cell_length_b 7.657
_cell_length_c 7.657
_cell_angle_alpha 109.47
_cell_angle_beta 109.47
_cell_angle_gamma 109.47
loop_
_space_group_symop_operation_xyz
'x,y,z'
loop_
_atom_site_label
_atom_site_fract_x
_atom_site_fract_y
_atom_site_fract_z
Pr1 0.000 0.000 0.500
Pr2 0.500 0.000 0.000
Pr3 0.500 0.500 0.500
Pr4 0.000 0.500 0.000
Al1 0.000 0.286 0.286
Al2 0.000 0.714 0.714
Al3 0.714 0.714 0.000
Al4 0.286 0.286 0.000
Al5 0.286 0.000 0.286
Al6 0.714 0.000 0.714
Al7 0.500 0.250 0.750
Al8 0.500 0.750 0.250
Al9 0.750 0.250 0.500
Al10 0.250 0.750 0.500
Al11 0.750 0.500 0.250
Al12 0.250 0.500 0.750
Rh1 0.000 0.000 0.000
```

Calculated values
Crystal system = cubic
Calculated density = 4.76 g/cm3
ΔE_f = -518 meV per atom
DFT total energy = -4.72 eV/atom

---

(4)
Sc7Au6: optimized geometry, PBE.

The structure in CIF format:
```
data_Sc7Au6
_chemical_formula_sum 'Sc7 Au6'
_space_group_name_H-M_alt 'P 1'
_space_group_IT_number 1
_cell_length_a 9.707
_cell_length_b 9.707
_cell_length_c 9.707
_cell_angle_alpha 35.77
_cell_angle_beta 35.77
_cell_angle_gamma 35.77
loop_
_space_group_symop_operation_xyz
'x,y,z'
loop_
_atom_site_label
_atom_site_fract_x
_atom_site_fract_y
_atom_site_fract_z
Sc1 0.077 0.585 0.585
Sc2 0.585 0.077 0.585
Sc3 0.585 0.585 0.077
Sc4 0.923 0.415 0.415
Sc5 0.415 0.415 0.923
Sc6 0.415 0.923 0.415
Sc7 0.500 0.500 0.500
Au1 0.052 0.052 0.052
Au2 0.948 0.948 0.948
Au3 0.163 0.163 0.163
Au4 0.837 0.837 0.837
Au5 0.335 0.335 0.335
Au6 0.665 0.665 0.665
```

Calculated values
Crystal system = trigonal
Calculated density = 8.89 g/cm3
ΔE_f = -196 meV per atom
DFT total energy = -5.12 eV/atom

---

(5)
Ce5HfN6: optimized geometry, PBE.

The structure in CIF format:
```
data_Ce5HfN6
_chemical_formula_sum 'Ce5 Hf1 N6'
_space_group_name_H-M_alt 'P 1'
_space_group_IT_number 1
_cell_length_a 6.062
_cell_length_b 6.069
_cell_length_c 6.063
_cell_angle_alpha 59.97
_cell_angle_beta 80.43
_cell_angle_gamma 70.59
loop_
_space_group_symop_operation_xyz
'x,y,z'
loop_
_atom_site_label
_atom_site_fract_x
_atom_site_fract_y
_atom_site_fract_z
Hf1 0.000 0.000 0.000
Ce1 0.500 0.167 0.666
Ce2 0.000 0.334 0.333
Ce3 0.500 0.500 0.000
Ce4 0.000 0.666 0.667
Ce5 0.500 0.833 0.334
N1 0.768 0.077 0.310
N2 0.232 0.613 0.310
N3 0.238 0.231 0.000
N4 0.762 0.769 0.000
N5 0.768 0.387 0.690
N6 0.232 0.923 0.690
```

Calculated values
Uncorrected formation energy = -18.68 eV per formula unit
Crystal system = monoclinic
Calculated density = 8.78 g/cm3
DFT total energy = -9.02 eV/atom

---

(6)
MoPbAu2: optimized geometry, PBE.

The structure in CIF format:
```
data_MoPbAu2
_chemical_formula_sum 'Mo1 Pb1 Au2'
_space_group_name_H-M_alt 'P 1'
_space_group_IT_number 1
_cell_length_a 5.221
_cell_length_b 5.221
_cell_length_c 5.221
_cell_angle_alpha 130.86
_cell_angle_beta 130.86
_cell_angle_gamma 72.03
loop_
_space_group_symop_operation_xyz
'x,y,z'
loop_
_atom_site_label
_atom_site_fract_x
_atom_site_fract_y
_atom_site_fract_z
Au1 0.000 0.000 0.000
Au2 0.250 0.750 0.500
Mo1 0.500 0.500 0.000
Pb1 0.750 0.250 0.500
```

Calculated values
Crystal system = tetragonal
Calculated density = 14.54 g/cm3
ΔE_f = 528 meV per atom
DFT total energy = -4.75 eV/atom

---

(7)
TlIr3N: optimized geometry, PBE.

The structure in CIF format:
```
data_TlIr3N
_chemical_formula_sum 'Tl1 Ir3 N1'
_space_group_name_H-M_alt 'P 1'
_space_group_IT_number 1
_cell_length_a 5.072
_cell_length_b 5.072
_cell_length_c 5.072
_cell_angle_alpha 90.00
_cell_angle_beta 90.00
_cell_angle_gamma 90.00
loop_
_space_group_symop_operation_xyz
'x,y,z'
loop_
_atom_site_label
_atom_site_fract_x
_atom_site_fract_y
_atom_site_fract_z
Tl1 0.000 0.000 0.000
Ir1 0.000 0.500 0.000
Ir2 0.000 0.000 0.500
Ir3 0.500 0.000 0.000
N1 0.500 0.500 0.500
```

Calculated values
Uncorrected formation energy = 17.86 eV per formula unit
Crystal system = cubic
Offset from the most stable computed form = 13.86 eV per formula unit
Calculated density = 10.12 g/cm3
DFT total energy = -3.88 eV/atom

---

(8)
Cu2Pd7Pb: optimized geometry, PBE.

The structure in CIF format:
```
data_Cu2Pd7Pb
_chemical_formula_sum 'Cu2 Pd7 Pb1'
_space_group_name_H-M_alt 'P 1'
_space_group_IT_number 1
_cell_length_a 4.419
_cell_length_b 7.150
_cell_length_c 7.150
_cell_angle_alpha 119.08
_cell_angle_beta 90.00
_cell_angle_gamma 90.00
loop_
_space_group_symop_operation_xyz
'x,y,z'
loop_
_atom_site_label
_atom_site_fract_x
_atom_site_fract_y
_atom_site_fract_z
Cu1 0.500 0.698 0.302
Cu2 0.500 0.302 0.698
Pd1 0.000 0.783 0.217
Pd2 0.000 0.217 0.783
Pd3 0.500 0.069 0.303
Pd4 0.500 0.931 0.697
Pd5 0.500 0.303 0.069
Pd6 0.500 0.697 0.931
Pd7 0.500 0.500 0.500
Pb1 0.000 0.000 0.000
```

Calculated values
Crystal system = orthorhombic
Calculated density = 9.08 g/cm3
ΔE_f = 336 meV per atom
DFT total energy = -4.49 eV/atom

---

(9)
Sr3CuIr: optimized geometry, PBE.

The structure in CIF format:
```
data_Sr3CuIr
_chemical_formula_sum 'Sr6 Cu2 Ir2'
_space_group_name_H-M_alt 'P 1'
_space_group_IT_number 1
_cell_length_a 4.462
_cell_length_b 7.040
_cell_length_c 9.876
_cell_angle_alpha 89.91
_cell_angle_beta 90.00
_cell_angle_gamma 90.00
loop_
_space_group_symop_operation_xyz
'x,y,z'
loop_
_atom_site_label
_atom_site_fract_x
_atom_site_fract_y
_atom_site_fract_z
Sr1 0.250 0.792 0.560
Sr2 0.250 0.270 0.750
Sr3 0.250 0.792 0.941
Sr4 0.750 0.208 0.440
Sr5 0.750 0.208 0.059
Sr6 0.750 0.730 0.250
Cu1 0.750 0.607 0.750
Cu2 0.250 0.393 0.250
Ir1 0.250 0.038 0.250
Ir2 0.750 0.962 0.750
```

Calculated values
Crystal system = monoclinic
Offset from the most stable computed form = 0.00 eV per formula unit
Calculated density = 5.55 g/cm3
ΔE_f = -128 meV per atom
DFT total energy = -3.73 eV/atom

---

(10)
Al2CoRh2: optimized geometry, PBE.

The structure in CIF format:
```
data_Al2CoRh2
_chemical_formula_sum 'Al2 Co1 Rh2'
_space_group_name_H-M_alt 'P 1'
_space_group_IT_number 1
_cell_length_a 3.633
_cell_length_b 3.633
_cell_length_c 6.432
_cell_angle_alpha 73.60
_cell_angle_beta 73.60
_cell_angle_gamma 90.00
loop_
_space_group_symop_operation_xyz
'x,y,z'
loop_
_atom_site_label
_atom_site_fract_x
_atom_site_fract_y
_atom_site_fract_z
Co1 0.000 0.000 0.000
Rh1 0.393 0.393 0.215
Rh2 0.607 0.607 0.785
Al1 0.750 0.250 0.500
Al2 0.250 0.750 0.500
```

Calculated values
Crystal system = tetragonal
Offset from the most stable computed form = 2.28 eV per formula unit
Calculated density = 6.80 g/cm3
ΔE_f = -63 meV per atom
DFT total energy = -5.92 eV/atom